Here is a geometry-optimized VZnCl2 structure from Alexandria. Energies are from PBE.

abc: 10.222 10.222 10.222
angles: 17.62 17.62 17.62
Element x y z (fractional)
Cl 0.886 0.886 0.886
Cl 0.114 0.114 0.114
Zn 0.000 0.000 0.000
V 0.500 0.500 0.500

Calculated values
**Final energy**: -0.296 Ry/atom
**SG**: No. 166
**Offset from the most stable computed form**: 0 meV/atom
**Formation energy without anion corrections**: -506.3 meV/atom